Material: Cs2BaPBr6
Method: DFT, GGA-PBE
State: relaxed

Cell: 8.099 8.099 13.283 Å, 90.00 90.00 90.00°
Space group I4/mmm (No. 139)
One atom of each set of equivalent atoms:
Cs (0.000, 0.500, 0.250)
Ba (0.000, 0.000, 0.000)
P (0.000, 0.000, 0.500)
Br (0.000, 0.000, 0.237)
Br (0.223, 0.223, 0.500)

uncorrected formation energy	-1.285	eV per atom
D(E_F)	0.000	states/eV/atom